(1)
VASP calculation (PBE-GGA) on a relaxed structure of Cu2Os2C.

```
data_Cu2Os2C
_chemical_formula_sum 'Cu4 Os4 C2'
_symmetry_space_group_name_H-M 'P 4/m b m'
_symmetry_Int_Tables_number 127
_symmetry_space_group_name_Hall '-P 4 2ab'
_cell_length_a 5.4390
_cell_length_b 5.4390
_cell_length_c 4.3451
_cell_angle_alpha 90.00
_cell_angle_beta 90.00
_cell_angle_gamma 90.00
loop_
_atom_site_label
_atom_site_fract_x
_atom_site_fract_y
_atom_site_fract_z
Cu1 0.1580 0.3420 0.0000
Os1 0.1648 0.6648 0.5000
C1 0.0000 0.0000 0.5000
```

Summary:
Formation enthalpy at 0 K ... 486 meV per atom
E_tot ... -7.490 eV/atom
V ... 12.9 Å³/atom
Energy relative to the lowest polymorph listed for this composition ... 0.0 meV per atom

(2)
VASP calculation (PBE-GGA) on a relaxed structure of Cd2H5Rh2.

```
data_Cd2H5Rh2
_chemical_formula_sum 'Cd8 H20 Rh8'
_symmetry_space_group_name_H-M 'C m c e'
_symmetry_Int_Tables_number 64
_symmetry_space_group_name_Hall '-C 2ac 2'
_cell_length_a 13.0760
_cell_length_b 5.6162
_cell_length_c 5.2646
_cell_angle_alpha 90.00
_cell_angle_beta 90.00
_cell_angle_gamma 90.00
loop_
_atom_site_label
_atom_site_fract_x
_atom_site_fract_y
_atom_site_fract_z
Cd1 0.1929 0.0000 0.0000
H1 0.0000 0.0000 0.0000
H2 0.0740 0.1434 0.3774
Rh1 0.0000 0.1548 0.7110
```

Summary:
E_tot ... -3.603 eV/atom
V ... 10.7 Å³/atom